No. 1
Pm3YAl2 after structural relaxation. Source: Alexandria, functional GGA-PBE.

Properties
Crystal system   orthorhombic
DFT formation energy   -0.271 eV per atom
Excess energy over the best structure of this formula in the dataset   0.000 eV per atom
Mass density   5.69 g/cm3
Total magnetization   0.00 μB per formula unit

abc: 5.2018 9.7015 6.6819
angles: 90.00 90.00 90.00
Last column: nearest neighbours and their distance in Å.
Sites, in units of the cell vectors:
Pm 0.0000 0.0423 0.0000  3 Al 3.21-3.25, 5 Pm 3.44-3.57
Pm 0.0000 0.3286 0.3353  5 Al 3.09-3.46, 2 Y 3.46
Pm 0.0000 0.6714 0.8353  5 Al 3.09-3.46, 2 Y 3.46
Pm 0.0000 0.9577 0.5000  3 Al 3.21-3.25, 5 Pm 3.44-3.57
Pm 0.5000 0.1768 0.7165  5 Al 3.17-3.46, 2 Pm 3.47, 1 Y 3.50
Pm 0.5000 0.8232 0.2165  5 Al 3.17-3.46, 2 Pm 3.47, 1 Y 3.50
Y 0.5000 0.4558 0.0491  3 Al 3.18-3.21, 2 Y 3.45, 3 Pm 3.46-3.50
Y 0.5000 0.5442 0.5491  3 Al 3.18-3.21, 2 Y 3.45, 3 Pm 3.46-3.50
Al 0.0000 0.3532 0.8191  6 Pm 3.09-3.46, 2 Y 3.18
Al 0.0000 0.6468 0.3191  6 Pm 3.09-3.46, 2 Y 3.18
Al 0.5000 0.1502 0.2335  7 Pm 3.17-3.46, 1 Y 3.21
Al 0.5000 0.8498 0.7335  7 Pm 3.17-3.46, 1 Y 3.21

***

No. 2
Ac2Al3TlCd4 after structural relaxation. Source: Alexandria, functional GGA-PBE.

Properties
Crystal system   tetragonal
DFT formation energy   -0.260 eV per atom
Mass density   7.70 g/cm3
Total magnetization   0.00 μB per formula unit

abc: 4.6695 4.6695 11.7586
angles: 90.00 90.00 90.00
Last column: nearest neighbours and their distance in Å.
Sites, in units of the cell vectors:
Ac 0.0000 0.5000 0.2414  6 Al 3.55-3.83, 8 Cd 3.56-3.68, 2 Tl 3.83
Ac 0.5000 0.0000 0.7586  6 Al 3.55-3.83, 8 Cd 3.56-3.68, 2 Tl 3.83
Al 0.0000 0.5000 0.8695  5 Cd 2.63-2.79
Al 0.5000 0.0000 0.1305  5 Cd 2.63-2.79
Al 0.5000 0.5000 0.5000  4 Cd 2.90
Tl 0.0000 0.0000 0.5000  4 Cd 2.90
Cd 0.0000 0.0000 0.0000  4 Al 2.79
Cd 0.0000 0.5000 0.6458  3 Al 2.63-2.90, 2 Tl 2.90
Cd 0.5000 0.0000 0.3542  3 Al 2.63-2.90, 2 Tl 2.90
Cd 0.5000 0.5000 0.0000  4 Al 2.79

***

No. 3
Tl2AgBi after structural relaxation. Source: Alexandria, functional GGA-PBE.

Properties
Crystal system   trigonal
DFT formation energy   0.187 eV per atom
Excess energy over the best structure of this formula in the dataset   0.125 eV per atom
Mass density   10.21 g/cm3
Total magnetization   0.00 μB per formula unit

abc: 12.1838 12.1838 12.1838
angles: 15.88 15.88 15.88
Last column: nearest neighbours and their distance in Å.
Sites, in units of the cell vectors:
Tl 0.0824 0.0824 0.0824  1 Ag 2.97
Tl 0.9176 0.9176 0.9176  1 Ag 2.97
Ag 0.0000 0.0000 0.0000  2 Tl 2.97
Bi 0.5000 0.5000 0.5000  6 Bi 3.37, 6 Tl 3.61

***

No. 4
Rb2GeO2 after structural relaxation. Source: Alexandria, functional GGA-PBE.

Properties
Crystal system   monoclinic
Excess energy over the best structure of this formula in the dataset   0.000 eV per atom
Mass density   3.12 g/cm3
Total magnetization   0.00 μB per formula unit

abc: 6.8945 6.8945 10.0275
angles: 99.82 99.82 38.67
Last column: nearest neighbours and their distance in Å.
Sites, in units of the cell vectors:
Rb 0.0958 0.0958 0.3498  3 O 2.86-2.92
Rb 0.3547 0.3547 0.9452  5 O 2.85-2.98
Rb 0.6453 0.6453 0.0548  5 O 2.85-2.98
Rb 0.9042 0.9042 0.6502  3 O 2.86-2.92
Ge 0.3682 0.3682 0.3043  2 O 1.77
Ge 0.6318 0.6318 0.6957  2 O 1.77
O 0.2515 0.2515 0.1822  1 Ge 1.77
O 0.4778 0.4778 0.2216  1 Ge 1.77
O 0.5222 0.5222 0.7784  1 Ge 1.77
O 0.7485 0.7485 0.8178  1 Ge 1.77

***

No. 5
Nd3Er4Sc2 after structural relaxation. Source: Alexandria, functional GGA-PBE.

Properties
Crystal system   monoclinic
DFT formation energy   0.149 eV per atom
Excess energy over the best structure of this formula in the dataset   0.023 eV per atom
Mass density   6.98 g/cm3
Total magnetization   0.00 μB per formula unit

abc: 9.6716 9.6716 6.1413
angles: 92.69 92.69 81.63
Last column: nearest neighbours and their distance in Å.
Sites, in units of the cell vectors:
Nd 0.0539 0.9461 0.7500  2 Nd 3.36, 2 Sc 3.39, 4 Er 3.66-3.76
Nd 0.1847 0.6236 0.3995  3 Er 3.25-3.50, 1 Nd 3.45, 2 Sc 3.45-3.47
Nd 0.3764 0.8153 0.1005  3 Er 3.25-3.50, 1 Nd 3.45, 2 Sc 3.45-3.47
Nd 0.6236 0.1847 0.8995  3 Er 3.25-3.50, 1 Nd 3.45, 2 Sc 3.45-3.47
Nd 0.8153 0.3764 0.6005  3 Er 3.25-3.50, 1 Nd 3.45, 2 Sc 3.45-3.47
Nd 0.9461 0.0539 0.2500  2 Nd 3.36, 2 Sc 3.39, 4 Er 3.66-3.76
Er 0.1519 0.2816 0.6116  1 Nd 3.25, 4 Er 3.26-3.48, 3 Sc 3.27-3.62
Er 0.2816 0.1519 0.1116  1 Nd 3.25, 4 Er 3.26-3.48, 3 Sc 3.27-3.62
Er 0.3365 0.4730 0.9259  6 Er 3.26-3.63, 1 Sc 3.34, 3 Nd 3.48-3.64
Er 0.4730 0.3365 0.4259  6 Er 3.26-3.63, 1 Sc 3.34, 3 Nd 3.48-3.64
Er 0.5270 0.6635 0.5741  6 Er 3.26-3.63, 1 Sc 3.34, 3 Nd 3.48-3.64
Er 0.6635 0.5270 0.0741  6 Er 3.26-3.63, 1 Sc 3.34, 3 Nd 3.48-3.64
Er 0.7184 0.8481 0.8884  1 Nd 3.25, 4 Er 3.26-3.48, 3 Sc 3.27-3.62
Er 0.8481 0.7184 0.3884  1 Nd 3.25, 4 Er 3.26-3.48, 3 Sc 3.27-3.62
Sc 0.0020 0.6186 0.8677  1 Sc 2.88
Sc 0.3814 0.9980 0.6323  1 Sc 2.88
Sc 0.6186 0.0020 0.3677  1 Sc 2.88
Sc 0.9980 0.3814 0.1323  1 Sc 2.88

***

No. 6
CaPm6Dy3 after structural relaxation. Source: Alexandria, functional GGA-PBE.

Properties
Crystal system   monoclinic
DFT formation energy   0.075 eV per atom
Mass density   6.75 g/cm3
Total magnetization   0.00 μB per formula unit

abc: 12.1645 3.5760 16.2954
angles: 90.00 104.15 90.00
Last column: nearest neighbours and their distance in Å.
Sites, in units of the cell vectors:
Ca 0.1316 0.2500 0.0624  1 Dy 3.58, 4 Ca 3.58-3.79, 7 Pm 3.63-3.84
Ca 0.8684 0.7500 0.9376  1 Dy 3.58, 4 Ca 3.58-3.79, 7 Pm 3.63-3.84
Pm 0.1128 0.2500 0.4592  4 Dy 3.42-3.51, 8 Pm 3.58-3.78
Pm 0.1167 0.7500 0.8513  2 Dy 3.46, 7 Pm 3.58-3.87, 3 Ca 3.63-3.84
Pm 0.1546 0.7500 0.2737  6 Pm 3.58-3.87, 5 Dy 3.60-3.74, 2 Ca 3.83
Pm 0.3394 0.7500 0.6138  6 Pm 3.58-3.75, 6 Dy 3.58-3.68
Pm 0.3628 0.2500 0.8198  3 Dy 3.41-3.61, 9 Pm 3.55-3.75
Pm 0.3801 0.7500 0.0200  8 Pm 3.55-3.68, 2 Dy 3.65, 2 Ca 3.72
Pm 0.6199 0.2500 0.9800  8 Pm 3.55-3.68, 2 Dy 3.65, 2 Ca 3.72
Pm 0.6372 0.7500 0.1802  3 Dy 3.41-3.61, 9 Pm 3.55-3.75
Pm 0.6606 0.2500 0.3862  6 Pm 3.58-3.75, 6 Dy 3.58-3.68
Pm 0.8454 0.2500 0.7263  6 Pm 3.58-3.87, 5 Dy 3.60-3.74, 2 Ca 3.83
Pm 0.8833 0.2500 0.1487  2 Dy 3.46, 7 Pm 3.58-3.87, 3 Ca 3.63-3.84
Pm 0.8872 0.7500 0.5407  4 Dy 3.42-3.51, 8 Pm 3.58-3.78
Dy 0.1128 0.2500 0.6691  9 Pm 3.41-3.60, 2 Dy 3.58
Dy 0.3833 0.2500 0.4293  6 Pm 3.44-3.73, 5 Dy 3.49-3.66
Dy 0.3960 0.2500 0.2178  3 Dy 3.49-3.58, 1 Ca 3.58, 7 Pm 3.61-3.74
Dy 0.6040 0.7500 0.7822  3 Dy 3.49-3.58, 1 Ca 3.58, 7 Pm 3.61-3.74
Dy 0.6167 0.7500 0.5707  6 Pm 3.44-3.73, 5 Dy 3.49-3.66
Dy 0.8872 0.7500 0.3309  9 Pm 3.41-3.60, 2 Dy 3.58

***

No. 7
Tb2Pr2Dy3 after structural relaxation. Source: Alexandria, functional GGA-PBE.

Properties
Crystal system   cubic
DFT formation energy   0.217 eV per atom
Excess energy over the best structure of this formula in the dataset   0.086 eV per atom
Mass density   7.68 g/cm3
Total magnetization   0.00 μB per formula unit

abc: 8.4859 8.4859 8.4859
angles: 109.47 109.47 109.47
Last column: nearest neighbours and their distance in Å.
Sites, in units of the cell vectors:
Tb 0.0000 0.0820 0.5000  6 Dy 3.26-3.32, 1 Pr 3.36
Tb 0.0820 0.5000 0.0000  6 Dy 3.26-3.32, 1 Pr 3.36
Tb 0.4180 0.4180 0.4180  6 Dy 3.26-3.32, 1 Pr 3.36
Tb 0.5000 0.0000 0.0820  6 Dy 3.26-3.32, 1 Pr 3.36
Pr 0.0000 0.6859 0.5000  1 Tb 3.36, 3 Dy 3.50, 3 Pr 3.58
Pr 0.5000 0.0000 0.6859  1 Tb 3.36, 3 Dy 3.50, 3 Pr 3.58
Pr 0.6859 0.5000 0.0000  1 Tb 3.36, 3 Dy 3.50, 3 Pr 3.58
Pr 0.8141 0.8141 0.8141  1 Tb 3.36, 3 Dy 3.50, 3 Pr 3.58
Dy 0.1960 0.9460 0.2500  4 Tb 3.26-3.32, 2 Pr 3.50
Dy 0.2500 0.1960 0.9460  4 Tb 3.26-3.32, 2 Pr 3.50
Dy 0.3040 0.5540 0.7500  4 Tb 3.26-3.32, 2 Pr 3.50
Dy 0.5540 0.7500 0.3040  4 Tb 3.26-3.32, 2 Pr 3.50
Dy 0.7500 0.3040 0.5540  4 Tb 3.26-3.32, 2 Pr 3.50
Dy 0.9460 0.2500 0.1960  4 Tb 3.26-3.32, 2 Pr 3.50

***

No. 8
Nd3Ge after structural relaxation. Source: Alexandria, functional GGA-PBE.

Properties
Crystal system   tetragonal
DFT formation energy   -0.450 eV per atom
Excess energy over the best structure of this formula in the dataset   0.000 eV per atom
Mass density   7.00 g/cm3
Total magnetization   0.00 μB per formula unit

abc: 12.4747 12.4747 6.1606
angles: 90.00 90.00 90.00
Last column: nearest neighbours and their distance in Å.
Sites, in units of the cell vectors:
Nd 0.0296 0.5718 0.2422  3 Ge 3.14-3.26, 1 Nd 3.50
Nd 0.0718 0.9704 0.7422  3 Ge 3.14-3.26, 1 Nd 3.50
Nd 0.1132 0.2186 0.0166  4 Ge 3.10-3.25
Nd 0.1359 0.6676 0.7309  2 Ge 3.19-3.20, 2 Nd 3.50-3.51
Nd 0.1676 0.8641 0.2309  2 Ge 3.19-3.20, 2 Nd 3.50-3.51
Nd 0.2186 0.3868 0.4834  4 Ge 3.10-3.25
Nd 0.2814 0.1132 0.4834  4 Ge 3.10-3.25
Nd 0.3325 0.6359 0.2309  2 Ge 3.19-3.20, 2 Nd 3.50-3.51
Nd 0.3641 0.8324 0.7309  2 Ge 3.19-3.20, 2 Nd 3.50-3.51
Nd 0.3868 0.2814 0.0166  4 Ge 3.10-3.25
Nd 0.4282 0.5296 0.7422  3 Ge 3.14-3.26, 1 Nd 3.50
Nd 0.4704 0.9282 0.2422  3 Ge 3.14-3.26, 1 Nd 3.50
Nd 0.5296 0.0718 0.7578  3 Ge 3.14-3.26, 1 Nd 3.50
Nd 0.5718 0.4704 0.2578  3 Ge 3.14-3.26, 1 Nd 3.50
Nd 0.6132 0.7186 0.9834  4 Ge 3.10-3.25
Nd 0.6359 0.1676 0.2691  2 Ge 3.19-3.20, 2 Nd 3.50-3.51
Nd 0.6676 0.3641 0.7691  2 Ge 3.19-3.20, 2 Nd 3.50-3.51
Nd 0.7186 0.8868 0.5166  4 Ge 3.10-3.25
Nd 0.7814 0.6132 0.5166  4 Ge 3.10-3.25
Nd 0.8324 0.1359 0.7691  2 Ge 3.19-3.20, 2 Nd 3.50-3.51
Nd 0.8641 0.3325 0.2691  2 Ge 3.19-3.20, 2 Nd 3.50-3.51
Nd 0.8868 0.7814 0.9834  4 Ge 3.10-3.25
Nd 0.9282 0.0296 0.2578  3 Ge 3.14-3.26, 1 Nd 3.50
Nd 0.9704 0.4282 0.7578  3 Ge 3.14-3.26, 1 Nd 3.50
Ge 0.0475 0.2077 0.5260  9 Nd 3.10-3.26
Ge 0.2077 0.4525 0.9740  9 Nd 3.10-3.26
Ge 0.2923 0.0475 0.9740  9 Nd 3.10-3.26
Ge 0.4525 0.2923 0.5260  9 Nd 3.10-3.26
Ge 0.5475 0.7077 0.4740  9 Nd 3.10-3.26
Ge 0.7077 0.9525 0.0260  9 Nd 3.10-3.26
Ge 0.7923 0.5475 0.0260  9 Nd 3.10-3.26
Ge 0.9525 0.7923 0.4740  9 Nd 3.10-3.26

***

Number 5 is which compound?
Nd3Er4Sc2

***

What is the total magnetization in the fifth record?
0.00 μB per formula unit

***

Which value of mass density does entry 5 give?
6.98 g/cm3